Density functional theory data (GGA-PBE) for an optimized crystal structure of KSbP2.

Cell: 10.468 10.468 10.468 Å, 17.41 17.41 17.41°
Sites, in units of the cell vectors:
1 K 0.000 0.000 0.000
2 Sb 0.500 0.500 0.500
3 P 0.247 0.247 0.247
4 P 0.753 0.753 0.753

calculated total energy = -3.3837 eV per atom
energy relative to the elements, uncorrected = 626 meV per atom

=====

Density functional theory data (GGA-PBE) for an optimized crystal structure of K3SbP.

Cell: 6.177 6.177 6.177 Å, 90.00 90.00 90.00°
Sites, in units of the cell vectors:
1 K 0.000 0.000 0.500
2 K 0.000 0.500 0.000
3 K 0.500 0.000 0.000
4 Sb 0.500 0.500 0.500
5 P 0.000 0.000 0.000

calculated total energy = -2.4436 eV per atom
energy relative to the elements, uncorrected = 121 meV per atom
offset from the most stable computed form = 0.00 eV per formula unit

=====

Density functional theory data (GGA-PBE) for an optimized crystal structure of KSbP2.

Cell: 3.403 3.403 8.226 Å, 90.00 90.00 93.91°
Sites, in units of the cell vectors:
1 K 0.000 0.000 0.000
2 Sb 0.000 0.000 0.500
3 P 0.500 0.500 0.296
4 P 0.500 0.500 0.704

calculated total energy = -3.6991 eV per atom
energy relative to the elements, uncorrected = 311 meV per atom

=====

Density functional theory data (GGA-PBE) for an optimized crystal structure of KSbP2.

Cell: 3.381 3.381 8.736 Å, 90.00 90.00 90.00°
Sites, in units of the cell vectors:
1 K 0.000 0.000 0.000
2 Sb 0.500 0.500 0.709
3 P 0.000 0.000 0.361
4 P 0.500 0.500 0.413

calculated total energy = -3.9248 eV per atom
energy relative to the elements, uncorrected = 85 meV per atom

=====

Density functional theory data (GGA-PBE) for an optimized crystal structure of KSbP2Se8.

Cell: 10.883 10.883 10.883 Å, 33.74 33.74 33.74°
Sites, in units of the cell vectors:
1 K 0.000 0.000 0.000
2 Sb 0.500 0.500 0.500
3 P 0.242 0.242 0.242
4 P 0.758 0.758 0.758
5 Se 0.103 0.417 0.812
6 Se 0.188 0.897 0.583
7 Se 0.313 0.313 0.313
8 Se 0.417 0.812 0.103
9 Se 0.583 0.188 0.897
10 Se 0.687 0.687 0.687
11 Se 0.812 0.103 0.417
12 Se 0.897 0.583 0.188

calculated total energy = -3.8257 eV per atom
energy relative to the elements, uncorrected = -166 meV per atom

=====

Density functional theory data (GGA-PBE) for an optimized crystal structure of KSb2TeP.

Cell: 5.317 5.317 5.629 Å, 90.00 90.00 90.00°
Sites, in units of the cell vectors:
1 K 0.000 0.000 0.000
2 Sb 0.000 0.500 0.500
3 Sb 0.500 0.000 0.500
4 Te 0.500 0.500 0.000
5 P 0.500 0.500 0.500

calculated total energy = -3.4072 eV per atom
energy relative to the elements, uncorrected = 172 meV per atom
offset from the most stable computed form = 0.00 eV per formula unit

=====

Density functional theory data (GGA-PBE) for an optimized crystal structure of KSb2TeP.

Cell: 6.049 6.049 5.922 Å, 90.00 90.00 90.00°
Sites, in units of the cell vectors:
1 K 0.000 0.000 0.000
2 Sb 0.000 0.500 0.000
3 Sb 0.500 0.000 0.000
4 Te 0.000 0.000 0.500
5 P 0.500 0.500 0.500

calculated total energy = -1.9662 eV per atom
energy relative to the elements, uncorrected = 1613 meV per atom
offset from the most stable computed form = 7.21 eV per formula unit

=====

Density functional theory data (GGA-PBE) for an optimized crystal structure of KZn4SbP2.

Cell: 4.163 4.163 10.492 Å, 90.00 90.00 90.00°
Sites, in units of the cell vectors:
1 K 0.000 0.000 0.000
2 Zn 0.000 0.500 0.322
3 Zn 0.000 0.500 0.678
4 Zn 0.500 0.000 0.322
5 Zn 0.500 0.000 0.678
6 Sb 0.000 0.000 0.500
7 P 0.500 0.500 0.199
8 P 0.500 0.500 0.801

calculated total energy = -2.8456 eV per atom
energy relative to the elements, uncorrected = -204 meV per atom

=====

Density functional theory data (GGA-PBE) for an optimized crystal structure of KZnSbP2.

Cell: 4.896 4.896 5.302 Å, 90.00 90.00 90.00°
Sites, in units of the cell vectors:
1 K 0.000 0.000 0.000
2 Zn 0.500 0.500 0.500
3 Sb 0.500 0.500 0.000
4 P 0.000 0.500 0.500
5 P 0.500 0.000 0.500

calculated total energy = -3.0019 eV per atom
energy relative to the elements, uncorrected = 461 meV per atom

=====

Density functional theory data (GGA-PBE) for an optimized crystal structure of K2ScP2.

Cell: 5.947 5.947 5.947 Å, 124.91 124.91 81.68°
Sites, in units of the cell vectors:
1 K 0.146 0.146 0.000
2 K 0.854 0.854 0.000
3 Sc 0.500 0.500 0.000
4 P 0.250 0.750 0.500
5 P 0.750 0.250 0.500

calculated total energy = -3.3692 eV per atom
energy of formation from the pure elements = 0.50 eV per atom
offset from the most stable computed form = 4.60 eV per formula unit

=====

Density functional theory data (GGA-PBE) for an optimized crystal structure of KScP2.

Cell: 5.420 5.420 2.751 Å, 90.00 90.00 90.00°
Sites, in units of the cell vectors:
1 K 0.000 0.000 0.000
2 Sc 0.500 0.500 0.000
3 P 0.000 0.500 0.500
4 P 0.500 0.000 0.500

calculated total energy = -4.7515 eV per atom
energy of formation from the pure elements = -0.19 eV per atom
offset from the most stable computed form = 2.16 eV per formula unit

=====

Density functional theory data (GGA-PBE) for an optimized crystal structure of KScP3.

Cell: 5.006 5.006 5.006 Å, 90.00 90.00 90.00°
Sites, in units of the cell vectors:
1 K 0.000 0.000 0.000
2 Sc 0.500 0.500 0.500
3 P 0.000 0.000 0.500
4 P 0.000 0.500 0.000
5 P 0.500 0.000 0.000

calculated total energy = -3.2926 eV per atom
energy of formation from the pure elements = 1.44 eV per atom
offset from the most stable computed form = 7.35 eV per formula unit

=====

Density functional theory data (GGA-PBE) for an optimized crystal structure of KSc2P.

Cell: 5.886 5.886 3.079 Å, 90.00 90.00 115.64°
Sites, in units of the cell vectors:
1 K 0.000 0.000 0.000
2 Sc 0.000 0.500 0.500
3 Sc 0.500 0.000 0.500
4 P 0.500 0.500 0.000

calculated total energy = -4.3499 eV per atom
energy of formation from the pure elements = 0.44 eV per atom

=====

Density functional theory data (GGA-PBE) for an optimized crystal structure of KScP2.

Cell: 9.114 9.114 9.114 Å, 145.24 145.24 49.97°
Sites, in units of the cell vectors:
1 K 0.000 0.000 0.000
2 K 0.750 0.250 0.500
3 Sc 0.250 0.750 0.500
4 Sc 0.500 0.500 0.000
5 P 0.319 0.625 0.194
6 P 0.375 0.569 0.694
7 P 0.431 0.125 0.806
8 P 0.875 0.681 0.306

calculated total energy = -5.0141 eV per atom
energy of formation from the pure elements = -0.45 eV per atom
offset from the most stable computed form = 1.11 eV per formula unit

=====

Density functional theory data (GGA-PBE) for an optimized crystal structure of KScP2.

Cell: 3.615 3.615 6.800 Å, 90.00 90.00 90.00°
Sites, in units of the cell vectors:
1 K 0.000 0.000 0.000
2 Sc 0.000 0.000 0.500
3 P 0.500 0.500 0.335
4 P 0.500 0.500 0.665

calculated total energy = -5.2921 eV per atom
energy of formation from the pure elements = -0.73 eV per atom
offset from the most stable computed form = 0.00 eV per formula unit

=====

Density functional theory data (GGA-PBE) for an optimized crystal structure of KSc2P.

Cell: 8.916 8.916 8.916 Å, 137.14 137.14 62.22°
Sites, in units of the cell vectors:
1 K 0.375 0.625 0.750
2 K 0.625 0.375 0.250
3 Sc 0.000 0.000 0.000
4 Sc 0.000 0.000 0.500
5 Sc 0.000 0.500 0.000
6 Sc 0.500 0.000 0.500
7 P 0.125 0.875 0.250
8 P 0.875 0.125 0.750

calculated total energy = -4.7121 eV per atom
energy of formation from the pure elements = 0.08 eV per atom

=====

Density functional theory data (GGA-PBE) for an optimized crystal structure of KSc2P.

Cell: 9.840 9.840 9.840 Å, 22.73 22.73 22.73°
Sites, in units of the cell vectors:
1 K 0.000 0.000 0.000
2 Sc 0.548 0.548 0.548
3 Sc 0.794 0.794 0.794
4 P 0.253 0.253 0.253

calculated total energy = -4.9156 eV per atom
energy of formation from the pure elements = -0.12 eV per atom

=====

Density functional theory data (GGA-PBE) for an optimized crystal structure of KScP2.

Cell: 4.419 4.419 7.002 Å, 103.57 103.57 49.35°
Sites, in units of the cell vectors:
1 K 0.000 0.000 0.000
2 Sc 0.500 0.500 0.500
3 P 0.233 0.233 0.652
4 P 0.767 0.767 0.348

calculated total energy = -5.1182 eV per atom
energy of formation from the pure elements = -0.56 eV per atom
offset from the most stable computed form = 0.70 eV per formula unit

=====

Density functional theory data (GGA-PBE) for an optimized crystal structure of KScP2.

Cell: 4.896 4.896 4.896 Å, 60.00 60.00 60.00°
Sites, in units of the cell vectors:
1 K 0.000 0.000 0.000
2 Sc 0.500 0.500 0.500
3 P 0.250 0.250 0.250
4 P 0.750 0.750 0.750

calculated total energy = -4.7100 eV per atom
energy of formation from the pure elements = -0.15 eV per atom
offset from the most stable computed form = 2.33 eV per formula unit

=====

Density functional theory data (GGA-PBE) for an optimized crystal structure of KSc2P.

Cell: 5.123 5.123 5.123 Å, 60.00 60.00 60.00°
Sites, in units of the cell vectors:
1 K 0.000 0.000 0.000
2 Sc 0.250 0.250 0.250
3 Sc 0.500 0.500 0.500
4 P 0.750 0.750 0.750

calculated total energy = -4.4096 eV per atom
energy of formation from the pure elements = 0.38 eV per atom